VASP calculation (PBE) on an optimized crystal structure of LaTbPr2Hg2.

Output
ΔE_f	-324	meV/atom
uncorrected energy	-3.611	eV per atom
total magnetization	0.00	μB/f.u.

Lattice parameters (Å, degrees): 5.228 7.386 9.649 90.00 90.00 90.00
Element x y z (fractional)
La  0.000  0.995  0.441
La  0.000  0.495  0.559
Tb  0.500  0.172  0.678
Tb  0.500  0.672  0.322
Pr  0.500  0.021  0.059
Pr  0.000  0.339  0.170
Pr  0.500  0.521  0.941
Pr  0.000  0.839  0.830
Hg  0.000  0.265  0.847
Hg  0.500  0.254  0.360
Hg  0.000  0.765  0.153
Hg  0.500  0.754  0.640